1.
Computed, not measured: crystalline LiCe3Pa3N8 at its relaxed geometry at the PBE-GGA level of DFT.

POSCAR file:
```
LiCe3Pa3N8
1.0
6.9065 0.0000 0.0000
-3.4533 5.9829 -0.0205
0.0000 -3.9686 5.6769
Li Ce Pa N
1 3 3 8
Cartesian
0.0000 -1.9843 2.8385 Li
0.0000 0.0000 0.0000 Ce
-1.7266 2.9915 -0.0102 Ce
1.7266 2.9915 -0.0103 Ce
3.4533 -1.9843 2.8384 Pa
1.7266 1.0072 2.8282 Pa
-1.7266 1.0072 2.8282 Pa
0.0000 1.9999 1.5095 N
3.4532 0.0144 4.1469 N
3.4533 1.9764 1.5737 N
0.0000 0.0380 4.0827 N
5.1583 -0.9777 1.5871 N
-1.7051 2.9920 4.0693 N
1.7482 -0.9777 1.5871 N
1.7051 2.9920 4.0693 N
```

Results
Total energy in eV per atom: -8.889
Formation energy (no corrections) in kJ/mol of atoms: -119.2
ρ in kg/m³: 8745

***

2.
Computed, not measured: crystalline LiIrCl2 at its relaxed geometry at the PBE-GGA level of DFT.

POSCAR file:
```
LiIrCl2
1.0
-1.6176 3.6001 2.2857
0.8701 4.2234 -1.4859
-3.3505 2.5221 -1.7931
Ir Li Cl
1 1 2
Cartesian
-2.0490 5.1728 -0.4966 Ir
0.0000 0.0000 0.0000 Li
-1.0245 2.5864 -0.2483 Cl
-3.0736 7.7593 -0.7450 Cl
```

Results
Total energy in eV per atom: -3.502
Formation energy (no corrections) in kJ/mol of atoms: 11.1
ρ in kg/m³: 6684
E above lowest polymorph in meV/atom: 596

***

3.
Computed, not measured: crystalline NaRuRh at its relaxed geometry at the PBE-GGA level of DFT.

POSCAR file:
```
NaRuRh
1.0
-11.1538 2.9644 -8.1030
-4.4848 -1.8165 -3.0502
2.8145 0.6786 4.9330
Ru Rh Na
2 2 2
Cartesian
-12.7913 1.5090 -8.4091 Ru
-8.6954 0.8307 -5.1856 Ru
-10.7298 2.6828 -5.8710 Rh
-3.5787 0.5331 -0.8264 Rh
-5.2864 -0.4361 -2.9270 Na
-6.9808 1.7217 -3.1261 Na
```

Results
Total energy in eV per atom: -5.572
Formation energy in eV/atom: 0.411
ρ in kg/m³: 7521
E above lowest polymorph in meV/atom: 118

***

4.
Computed, not measured: crystalline Al2Si2Sn at its relaxed geometry at the PBE-GGA level of DFT.

POSCAR file:
```
Al2Si2Sn
1.0
3.5410 0.0000 0.0000
0.0000 3.5410 0.0000
1.7705 1.7705 7.6178
Si Sn Al
2 1 2
Cartesian
3.5410 1.7705 3.8089 Si
1.7705 3.5410 3.8089 Si
0.0000 0.0000 0.0000 Sn
1.7705 1.7705 1.7867 Al
3.5410 3.5410 5.8312 Al
```

Results
Total energy in eV per atom: -4.243
Formation energy (no corrections) in kJ/mol of atoms: 21.6
ρ in kg/m³: 3978
E above lowest polymorph in meV/atom: 7

***

What did the fourth record say?
Computed, not measured: crystalline Al2Si2Sn at its relaxed geometry at the PBE-GGA level of DFT.

POSCAR file:
```
Al2Si2Sn
1.0
3.5410 0.0000 0.0000
0.0000 3.5410 0.0000
1.7705 1.7705 7.6178
Si Sn Al
2 1 2
Cartesian
3.5410 1.7705 3.8089 Si
1.7705 3.5410 3.8089 Si
0.0000 0.0000 0.0000 Sn
1.7705 1.7705 1.7867 Al
3.5410 3.5410 5.8312 Al
```

Results
Total energy in eV per atom: -4.243
Formation energy (no corrections) in kJ/mol of atoms: 21.6
ρ in kg/m³: 3978
E above lowest polymorph in meV/atom: 7

***

Copy entry 1 word for word.
Computed, not measured: crystalline LiCe3Pa3N8 at its relaxed geometry at the PBE-GGA level of DFT.

POSCAR file:
```
LiCe3Pa3N8
1.0
6.9065 0.0000 0.0000
-3.4533 5.9829 -0.0205
0.0000 -3.9686 5.6769
Li Ce Pa N
1 3 3 8
Cartesian
0.0000 -1.9843 2.8385 Li
0.0000 0.0000 0.0000 Ce
-1.7266 2.9915 -0.0102 Ce
1.7266 2.9915 -0.0103 Ce
3.4533 -1.9843 2.8384 Pa
1.7266 1.0072 2.8282 Pa
-1.7266 1.0072 2.8282 Pa
0.0000 1.9999 1.5095 N
3.4532 0.0144 4.1469 N
3.4533 1.9764 1.5737 N
0.0000 0.0380 4.0827 N
5.1583 -0.9777 1.5871 N
-1.7051 2.9920 4.0693 N
1.7482 -0.9777 1.5871 N
1.7051 2.9920 4.0693 N
```

Results
Total energy in eV per atom: -8.889
Formation energy (no corrections) in kJ/mol of atoms: -119.2
ρ in kg/m³: 8745